[1]
The following is a GGA-PBE calculation of a geometry-optimized NiRu2Au structure, from Alexandria via LeMat-Bulk.

```
NiRu2Au
1.0
-1.365 3.177 -3.331
-4.033 2.308 1.210
4.143 -0.853 2.271
Au Ni Ru
1 1 2
Cartesian
-1.294 2.099 1.210
0.040 2.533 -1.060
0.000 0.000 0.000
-2.699 2.743 -1.061
```

space-group type	I4/mmm, No. 139
polymorph energy (0 for the lowest one)	197	meV/atom
final energy	-26.130	eV/cell
total moment	0.00	μB/f.u.
formation energy from the elements	370	meV per atom



[2]
The following is a GGA-PBE calculation of a geometry-optimized Ni2RuAu structure, from Alexandria via LeMat-Bulk.

```
Ni2RuAu
1.0
-1.279 -3.799 0.797
0.948 -0.813 -2.354
4.852 -1.436 0.941
Au Ni Ru
1 2 1
Cartesian
3.902 -3.667 -0.741
0.185 -0.153 -0.433
0.706 -2.328 0.514
2.629 -1.024 -0.662
```

space-group type	Pm, No. 6
polymorph energy (0 for the lowest one)	112	meV/atom
final energy	-23.123	eV/cell
total moment	1.06	μB/f.u.
formation energy from the elements	248	meV per atom



[3]
The following is a GGA-PBE calculation of a geometry-optimized Ni2RuAu structure, from Alexandria via LeMat-Bulk.

```
Ni2RuAu
1.0
2.717 0.000 0.000
0.000 2.717 0.000
0.000 0.000 7.324
Au Ni Ru
1 2 1
Cartesian
1.358 1.358 5.493
0.000 0.000 0.137
0.000 0.000 3.525
1.358 1.358 1.831
```

space-group type	P4/mmm, No. 123
polymorph energy (0 for the lowest one)	0	meV/atom
final energy	-23.570	eV/cell
total moment	0.61	μB/f.u.
formation energy from the elements	136	meV per atom